Record 1
The following is a PBE calculation of a relaxed structure of BeInCo, from the Alexandria database.

a b c (Å): 3.8921 3.8921 3.0595
angles (deg): 90.00 90.00 120.00
With the nearest neighbours (Å) after each atom.
Element x y z (fractional)
Be 0.0000 0.0000 0.1670  3 Co 2.25
In 0.6667 0.3333 0.6666  6 Be 2.72, 6 Co 2.72
Co 0.3333 0.6667 0.1665  3 Be 2.25

Summary:
E_form = 14.2 kJ/mol of atoms

***

Record 2
The following is a PBE calculation of a relaxed structure of Be2InCo, from the Alexandria database.

a b c (Å): 4.2473 4.2473 4.3355
angles (deg): 74.60 74.60 42.34
With the nearest neighbours (Å) after each atom.
Element x y z (fractional)
In 0.2500 0.2500 0.2500  4 Co 2.66, 8 Be 2.66-2.81
Co 0.7500 0.7500 0.7500  6 Be 2.25-2.47
Be 0.0333 0.0333 0.8810  2 Be 2.06, 2 Co 2.25
Be 0.4667 0.4667 0.6190  2 Be 2.06, 2 Co 2.25

Summary:
E_form = 12.5 kJ/mol of atoms

***

Question: The lowest E_form belongs to which entry?
Answer: Be2InCo